1.
This record from Alexandria describes crystalline Ag2Rh at its relaxed geometry. The functional is PBE. Values from VASP.

Values from the calculation:
SG = P4/mmm (123)

Quantum ESPRESSO input file:
```
&SYSTEM
  ibrav = 0, nat = 3, ntyp = 2
/
ATOMIC_SPECIES
Ag 107.87 Ag.upf
Rh 102.91 Rh.upf
ATOMIC_POSITIONS crystal
Ag 0.000 0.500 0.000
Ag 0.500 0.000 0.000
Rh 0.000 0.000 0.500
CELL_PARAMETERS angstrom
4.746 0.000 0.000
0.000 4.746 0.000
0.000 0.000 2.710
```

---

2.
This record from Alexandria describes crystalline Ag4Rh at its relaxed geometry. The functional is PBE. Values from VASP.

Values from the calculation:
SG = Pm-3m (221)

Quantum ESPRESSO input file:
```
&SYSTEM
  ibrav = 0, nat = 5, ntyp = 2
/
ATOMIC_SPECIES
Ag 107.87 Ag.upf
Rh 102.91 Rh.upf
ATOMIC_POSITIONS crystal
Ag 0.000 0.000 0.000
Ag 0.000 0.500 0.500
Ag 0.500 0.000 0.500
Ag 0.500 0.500 0.000
Rh 0.500 0.500 0.500
CELL_PARAMETERS angstrom
5.021 0.000 0.000
0.000 5.021 0.000
0.000 0.000 5.021
```

---

3.
This record from Alexandria describes crystalline Ag2Rh at its relaxed geometry. The functional is PBE. Values from VASP.

Values from the calculation:
SG = Pnma (62)

Quantum ESPRESSO input file:
```
&SYSTEM
  ibrav = 0, nat = 12, ntyp = 2
/
ATOMIC_SPECIES
Ag 107.87 Ag.upf
Rh 102.91 Rh.upf
ATOMIC_POSITIONS crystal
Ag 0.113 0.250 0.089
Ag 0.142 0.250 0.754
Ag 0.358 0.750 0.254
Ag 0.387 0.750 0.589
Ag 0.613 0.250 0.411
Ag 0.642 0.250 0.746
Ag 0.858 0.750 0.246
Ag 0.887 0.750 0.911
Rh 0.101 0.250 0.430
Rh 0.399 0.750 0.930
Rh 0.601 0.250 0.070
Rh 0.899 0.750 0.570
CELL_PARAMETERS angstrom
5.762 0.000 0.000
0.000 4.024 0.000
0.000 0.000 8.625
```

---

4.
This record from Alexandria describes crystalline Ag2Rh at its relaxed geometry. The functional is PBE. Values from VASP.

Values from the calculation:
SG = I4/mcm (140)

Quantum ESPRESSO input file:
```
&SYSTEM
  ibrav = 0, nat = 6, ntyp = 2
/
ATOMIC_SPECIES
Ag 107.87 Ag.upf
Rh 102.91 Rh.upf
ATOMIC_POSITIONS crystal
Ag 0.153 0.653 0.806
Ag 0.347 0.153 0.500
Ag 0.653 0.847 0.500
Ag 0.847 0.347 0.194
Rh 0.250 0.250 0.000
Rh 0.750 0.750 0.000
CELL_PARAMETERS angstrom
-3.301 3.301 2.458
3.301 -3.301 2.458
3.301 3.301 -2.458
```

---

5.
This record from Alexandria describes crystalline Ag2Rh at its relaxed geometry. The functional is PBE. Values from VASP.

Values from the calculation:
SG = C2/m (12)

Quantum ESPRESSO input file:
```
&SYSTEM
  ibrav = 0, nat = 6, ntyp = 2
/
ATOMIC_SPECIES
Ag 107.87 Ag.upf
Rh 102.91 Rh.upf
ATOMIC_POSITIONS crystal
Ag 0.021 0.021 0.307
Ag 0.358 0.358 0.968
Ag 0.642 0.642 0.032
Ag 0.979 0.979 0.693
Rh 0.297 0.297 0.374
Rh 0.703 0.703 0.626
CELL_PARAMETERS angstrom
5.382 -1.413 0.000
5.382 1.413 0.000
-1.764 0.000 6.537
```

---

6.
This record from Alexandria describes crystalline Ag2Rh at its relaxed geometry. The functional is PBE. Values from VASP.

Values from the calculation:
SG = P-62m (189)

Quantum ESPRESSO input file:
```
&SYSTEM
  ibrav = 0, nat = 9, ntyp = 2
/
ATOMIC_SPECIES
Ag 107.87 Ag.upf
Rh 102.91 Rh.upf
ATOMIC_POSITIONS crystal
Ag 0.000 0.306 0.000
Ag 0.000 0.639 0.500
Ag 0.306 0.000 0.000
Ag 0.361 0.361 0.500
Ag 0.639 0.000 0.500
Ag 0.694 0.694 0.000
Rh 0.000 0.000 0.500
Rh 0.333 0.667 0.000
Rh 0.667 0.333 0.000
CELL_PARAMETERS angstrom
7.955 0.000 0.000
-3.978 6.889 0.000
0.000 0.000 2.756
```

---

7.
This record from Alexandria describes crystalline Ag2Rh at its relaxed geometry. The functional is PBE. Values from VASP.

Values from the calculation:
SG = P6_3/mmc (194)

Quantum ESPRESSO input file:
```
&SYSTEM
  ibrav = 0, nat = 6, ntyp = 2
/
ATOMIC_SPECIES
Ag 107.87 Ag.upf
Rh 102.91 Rh.upf
ATOMIC_POSITIONS crystal
Ag 0.000 0.000 0.000
Ag 0.000 0.000 0.500
Ag 0.333 0.667 0.250
Ag 0.667 0.333 0.750
Rh 0.333 0.667 0.750
Rh 0.667 0.333 0.250
CELL_PARAMETERS angstrom
4.597 0.000 0.000
-2.299 3.981 0.000
0.000 0.000 5.539
```

---

8.
This record from Alexandria describes crystalline Ag5Rh3 at its relaxed geometry. The functional is PBE. Values from VASP.

Values from the calculation:
SG = P-1 (2)

Quantum ESPRESSO input file:
```
&SYSTEM
  ibrav = 0, nat = 16, ntyp = 2
/
ATOMIC_SPECIES
Ag 107.87 Ag.upf
Rh 102.91 Rh.upf
ATOMIC_POSITIONS crystal
Ag 0.022 0.200 0.170
Ag 0.148 0.771 0.162
Ag 0.240 0.985 0.567
Ag 0.381 0.307 0.658
Ag 0.425 0.364 0.292
Ag 0.575 0.636 0.708
Ag 0.619 0.693 0.342
Ag 0.760 0.015 0.433
Ag 0.852 0.229 0.838
Ag 0.978 0.800 0.830
Rh 0.095 0.649 0.509
Rh 0.287 0.433 0.972
Rh 0.388 0.987 0.883
Rh 0.612 0.013 0.117
Rh 0.713 0.567 0.028
Rh 0.905 0.351 0.491
CELL_PARAMETERS angstrom
4.919 0.000 0.000
2.023 6.769 0.000
1.316 0.330 8.235
```

---

9.
This record from Alexandria describes crystalline Ag5Rh3 at its relaxed geometry. The functional is PBE. Values from VASP.

Values from the calculation:
SG = Cmmm (65)

Quantum ESPRESSO input file:
```
&SYSTEM
  ibrav = 0, nat = 8, ntyp = 2
/
ATOMIC_SPECIES
Ag 107.87 Ag.upf
Rh 102.91 Rh.upf
ATOMIC_POSITIONS crystal
Ag 0.000 0.000 0.000
Ag 0.000 0.500 0.000
Ag 0.241 0.759 0.500
Ag 0.500 0.000 0.000
Ag 0.759 0.241 0.500
Rh 0.273 0.273 0.500
Rh 0.500 0.500 0.000
Rh 0.727 0.727 0.500
CELL_PARAMETERS angstrom
3.989 -4.261 0.000
3.989 4.261 0.000
0.000 0.000 3.883
```

---

10.
This record from Alexandria describes crystalline AgRu2Rh at its relaxed geometry. The functional is PBE. Values from VASP.

Values from the calculation:
SG = Cmm2 (35)

Quantum ESPRESSO input file:
```
&SYSTEM
  ibrav = 0, nat = 4, ntyp = 3
/
ATOMIC_SPECIES
Ag 107.87 Ag.upf
Ru 101.07 Ru.upf
Rh 102.91 Rh.upf
ATOMIC_POSITIONS crystal
Ag 0.000 0.000 0.000
Ru 0.000 0.000 0.501
Ru 0.500 0.500 0.734
Rh 0.500 0.500 0.262
CELL_PARAMETERS angstrom
1.387 -2.326 0.000
1.387 2.326 0.000
0.000 0.000 9.459
```

---

11.
This record from Alexandria describes crystalline AgRu2Rh at its relaxed geometry. The functional is PBE. Values from VASP.

Values from the calculation:
SG = I4/mmm (139)

Quantum ESPRESSO input file:
```
&SYSTEM
  ibrav = 0, nat = 4, ntyp = 3
/
ATOMIC_SPECIES
Ag 107.87 Ag.upf
Ru 101.07 Ru.upf
Rh 102.91 Rh.upf
ATOMIC_POSITIONS crystal
Ag 0.000 0.000 0.000
Ru 0.250 0.750 0.500
Ru 0.750 0.250 0.500
Rh 0.500 0.500 0.000
CELL_PARAMETERS angstrom
-1.915 1.915 4.039
1.915 -1.915 4.039
1.915 1.915 -4.039
```

---

12.
This record from Alexandria describes crystalline AgRu2Rh at its relaxed geometry. The functional is PBE. Values from VASP.

Values from the calculation:
SG = P4mm (99)

Quantum ESPRESSO input file:
```
&SYSTEM
  ibrav = 0, nat = 4, ntyp = 3
/
ATOMIC_SPECIES
Ag 107.87 Ag.upf
Ru 101.07 Ru.upf
Rh 102.91 Rh.upf
ATOMIC_POSITIONS crystal
Ag 0.000 0.000 0.000
Ru 0.000 0.000 0.506
Ru 0.500 0.500 0.726
Rh 0.500 0.500 0.268
CELL_PARAMETERS angstrom
2.754 0.000 0.000
0.000 2.754 0.000
0.000 0.000 7.890
```

---

Here are the calculated magnetic moment numbers, same order: 0.000 0.159 0.231 0.000 0.030 0.223 0.086 0.257 0.274 0.336 0.000 0.000 (μB/atom).
Here are the calculated distance to the lowest polymorph of the same formula numbers, same order: 259.7 886.0 72.3 157.8 16.1 126.6 212.7 108.5 0.0 205.6 243.1 17.5 (meV/atom).